The following is a DFT calculation (PBE) of a relaxed structure of CaTbPu2Se4.

```
CaTbPu2Se4
1.0
7.1719 0.0000 0.0000
0.0000 4.1387 0.0000
-2.4253 0.0000 6.8157
Ca Tb Pu Se
1 1 2 4
Direct
0.0000 0.0000 0.0000
0.0000 0.5000 0.5000
0.5000 0.0000 0.5000
0.5000 0.5000 0.0000
0.2469 0.0000 0.7486
0.2471 0.5000 0.2518
0.7531 0.0000 0.2514
0.7529 0.5000 0.7482
```

Energy   -62.69 eV for the cell shown
Formation energy (no corrections)   -1.682 eV/atom
DOS(E_F)   23.02 states/eV/f.u.